Record 1
## Ac6Si2SBr3 (PBE)

Data for a geometry-optimized Ac6Si2SBr3 structure.

Cell: 10.2833 10.2833 9.1583 Å, 105.59 105.59 25.37°
Fractional positions:
Ac 0.0060 0.0060 0.2244
Ac 0.3245 0.3245 0.4361
Ac 0.3450 0.3450 0.9020
Ac 0.6550 0.6550 0.0980
Ac 0.6755 0.6755 0.5639
Ac 0.9940 0.9940 0.7756
Si 0.1635 0.1635 0.3285
Si 0.8365 0.8365 0.6715
S 0.5000 0.5000 0.0000
Br 0.1731 0.1731 0.8370
Br 0.5000 0.5000 0.5000
Br 0.8269 0.8269 0.1630

Calculated values
Size of the total moment   0.00 Bohr magnetons per cell
SG   No. 12
DFT total energy   -4.96 eV/atom
Energy relative to the elements, uncorrected   -1.243 eV per atom

***

Record 2
## AcDy6Th (PBE)

Data for a geometry-optimized AcDy6Th structure.

Cell: 6.5510 6.7667 7.6058 Å, 116.32 114.56 90.10°
Fractional positions:
Ac 0.0000 0.0000 0.0000
Dy 0.0765 0.2725 0.5447
Dy 0.4490 0.7602 0.5209
Dy 0.5003 0.2541 0.9997
Dy 0.4997 0.7459 0.0003
Dy 0.5510 0.2398 0.4791
Dy 0.9235 0.7275 0.4553
Th 0.0000 0.5000 0.0000

Calculated values
Size of the total moment   0.00 Bohr magnetons per cell
Offset from the most stable computed form   1.60 eV/f.u.
SG   No. 2
DFT total energy   -4.65 eV/atom

***

Record 3
## Pd2SeBr3 (PBE)

Data for a geometry-optimized Pd2SeBr3 structure.

Cell: 7.6681 7.6681 6.2492 Å, 90.00 90.00 120.00°
Fractional positions:
Pd 0.0000 0.0000 0.0000
Pd 0.0000 0.5000 0.0000
Pd 0.5000 0.0000 0.0000
Pd 0.5000 0.5000 0.0000
Se 0.3333 0.6667 0.8098
Se 0.6667 0.3333 0.1902
Br 0.1646 0.3293 0.2422
Br 0.1646 0.8354 0.2422
Br 0.3293 0.1646 0.7578
Br 0.6707 0.8354 0.2422
Br 0.8354 0.1646 0.7578
Br 0.8354 0.6707 0.7578

Calculated values
Size of the total moment   4.04 Bohr magnetons per cell
Offset from the most stable computed form   0.12 eV/f.u.
SG   No. 164
DFT total energy   -3.31 eV/atom
Energy relative to the elements, uncorrected   -0.162 eV per atom

***

Record 4
## BeFeH (PBE)

Data for a geometry-optimized BeFeH structure.

Cell: 4.1137 4.1137 2.4865 Å, 90.00 90.00 101.87°
Fractional positions:
Be 0.2146 0.2146 0.0000
Be 0.7854 0.7854 0.0000
Fe 0.2831 0.7169 0.5000
Fe 0.7169 0.2831 0.5000
H 0.0000 0.5000 0.0000
H 0.5000 0.0000 0.0000

Calculated values
Size of the total moment   2.54 Bohr magnetons per cell
Offset from the most stable computed form   0.22 eV/f.u.
SG   No. 65
DFT total energy   -5.19 eV/atom

***

Record 5
## Tl5CdHg2Sb (PBE)

Data for a geometry-optimized Tl5CdHg2Sb structure.

Cell: 10.0674 10.0674 12.4152 Å, 90.00 90.00 153.36°
Fractional positions:
Tl 0.0152 0.9848 0.5000
Tl 0.2714 0.7286 0.2983
Tl 0.3270 0.6730 0.6572
Tl 0.3435 0.6565 0.9530
Tl 0.4670 0.5330 0.2036
Tl 0.5330 0.4670 0.7036
Tl 0.6565 0.3435 0.4530
Tl 0.6730 0.3270 0.1572
Tl 0.7286 0.2714 0.7983
Tl 0.9848 0.0152 0.0000
Cd 0.1817 0.8183 0.9726
Cd 0.8183 0.1817 0.4726
Hg 0.0802 0.9198 0.2662
Hg 0.1587 0.8413 0.6407
Hg 0.8413 0.1587 0.1407
Hg 0.9198 0.0802 0.7662
Sb 0.4147 0.5853 0.4411
Sb 0.5853 0.4147 0.9411

Calculated values
Size of the total moment   0.00 Bohr magnetons per cell
SG   No. 36
DFT total energy   -1.91 eV/atom
Energy relative to the elements, uncorrected   0.027 eV per atom

***

Record 6
## ScCdPb3 (PBE)

Data for a geometry-optimized ScCdPb3 structure.

Cell: 5.5863 5.5863 5.5863 Å, 90.00 90.00 90.00°
Fractional positions:
Sc 0.0000 0.0000 0.0000
Cd 0.5000 0.5000 0.5000
Pb 0.0000 0.5000 0.5000
Pb 0.5000 0.0000 0.5000
Pb 0.5000 0.5000 0.0000

Calculated values
Size of the total moment   0.00 Bohr magnetons per cell
Offset from the most stable computed form   2.53 eV/f.u.
SG   No. 221
DFT total energy   -3.12 eV/atom

***

Record 7
## HoGa3Rh3 (PBE)

Data for a geometry-optimized HoGa3Rh3 structure.

Cell: 6.6790 6.6790 6.6790 Å, 90.00 90.00 90.00°
Fractional positions:
Ho 0.0000 0.0000 0.0000
Ho 0.5000 0.5000 0.5000
Ga 0.0000 0.2500 0.5000
Ga 0.0000 0.7500 0.5000
Ga 0.2500 0.5000 0.0000
Ga 0.5000 0.0000 0.2500
Ga 0.5000 0.0000 0.7500
Ga 0.7500 0.5000 0.0000
Rh 0.0000 0.5000 0.2500
Rh 0.0000 0.5000 0.7500
Rh 0.2500 0.0000 0.5000
Rh 0.5000 0.2500 0.0000
Rh 0.5000 0.7500 0.0000
Rh 0.7500 0.0000 0.5000

Calculated values
Size of the total moment   0.00 Bohr magnetons per cell
SG   No. 223
DFT total energy   -5.26 eV/atom

***

Record 8
## YSbHRh2 (PBE)

Data for a geometry-optimized YSbHRh2 structure.

Cell: 4.2458 4.2458 4.3033 Å, 90.00 90.00 90.00°
Fractional positions:
Y 0.0000 0.0000 0.0000
Sb 0.5000 0.5000 0.0000
H 0.0000 0.0000 0.5000
Rh 0.0000 0.5000 0.5000
Rh 0.5000 0.0000 0.5000

Calculated values
Size of the total moment   0.00 Bohr magnetons per cell
SG   No. 123
DFT total energy   -6.22 eV/atom